Material: MoS2O
Method: DFT, PBE with a Hubbard U
State: relaxed

Calculated values
D(E_F) = 0.264 states/eV/atom
Total energy = -4.972 eV/atom

abc: 3.280 3.280 20.162
angles: 90.00 90.00 120.00
Atoms (fractional coordinates):
Mo 0.000 0.000 0.000
Mo 0.333 0.667 0.667
Mo 0.667 0.333 0.333
S 0.000 0.000 0.410
S 0.000 0.000 0.590
S 0.333 0.667 0.077
S 0.333 0.667 0.257
S 0.667 0.333 0.743
S 0.667 0.333 0.923
O 0.000 0.000 0.500
O 0.333 0.667 0.167
O 0.667 0.333 0.833